# 1
DFT (PBE) results for an optimized crystal structure of LiAg2Rh.

Cell lengths 4.4773, 4.4773, 4.4773 Å; angles 60.00, 60.00, 60.00 degrees
Last column: nearest neighbours and their distance in Å.
Fractional coordinates of all 4 atoms:
Li 0.5000 0.5000 0.5000  4 Ag 2.74, 4 Rh 2.74
Rh 0.7500 0.7500 0.7500  4 Li 2.74, 4 Ag 2.74
Ag 0.2500 0.2500 0.2500  4 Ag 2.74, 4 Li 2.74
Ag 0.0000 0.0000 0.0000  4 Rh 2.74, 4 Ag 2.74

## Properties
Calculated formation energy   0.079 eV/atom
Total magnetization   0.000 μB/atom
VASP energy   -14.7 eV for the cell shown

# 2
DFT (PBE) results for an optimized crystal structure of CaAg2Pt2.

Cell lengths 3.9301, 3.9301, 7.1504 Å; angles 74.05, 74.05, 90.00 degrees
Last column: nearest neighbours and their distance in Å.
Fractional coordinates of all 5 atoms:
Pt 0.7500 0.2500 0.5000  4 Ag 2.77, 4 Pt 2.78
Pt 0.2500 0.7500 0.5000  4 Ag 2.77, 4 Pt 2.78
Ca 0.0000 0.0000 0.0000  8 Ag 3.08
Ag 0.6014 0.6014 0.7972  1 Ag 2.67, 4 Pt 2.77
Ag 0.3986 0.3986 0.2028  1 Ag 2.67, 4 Pt 2.77

## Properties
Energy above the lowest structure with this stoichiometry   0.144 eV per atom
Calculated formation energy   -0.170 eV/atom
Total magnetization   0.000 μB/atom
VASP energy   -20.6 eV for the cell shown

# 3
DFT (PBE) results for an optimized crystal structure of RbSnBi.

Cell lengths 6.6975, 7.9700, 6.5102 Å; angles 127.74, 90.00, 90.00 degrees
Last column: nearest neighbours and their distance in Å.
Fractional coordinates of all 6 atoms:
Bi 0.5000 0.3306 0.6613  2 Sn 3.06
Bi 0.5000 0.6694 0.3387  2 Sn 3.06
Rb 0.0000 0.1923 0.3846  2 Bi 3.64, 1 Rb 3.96
Rb 0.0000 0.8077 0.6154  2 Bi 3.64, 1 Rb 3.96
Sn 0.5000 0.8159 0.0000  1 Sn 2.93, 2 Bi 3.06
Sn 0.5000 0.1841 0.0000  1 Sn 2.93, 2 Bi 3.06

## Properties
Calculated formation energy   0.023 eV/atom
Total magnetization   0.000 μB/atom
VASP energy   -17.6 eV for the cell shown

# 4
DFT (PBE) results for an optimized crystal structure of HoCu4Ge.

Cell lengths 5.0596, 5.0596, 5.0596 Å; angles 60.00, 60.00, 60.00 degrees
Last column: nearest neighbours and their distance in Å.
Fractional coordinates of all 6 atoms:
Cu 0.6249 0.6249 0.6249  6 Cu 2.53
Cu 0.1254 0.6249 0.6249  6 Cu 2.53
Cu 0.6249 0.1254 0.6249  6 Cu 2.53
Cu 0.6249 0.6249 0.1254  6 Cu 2.53
Ho 0.0000 0.0000 0.0000  12 Cu 2.97, 4 Ge 3.10
Ge 0.2500 0.2500 0.2500  12 Cu 2.97, 4 Ho 3.10

## Properties
Calculated formation energy   -0.181 eV/atom
Total magnetization   0.000 μB/atom
VASP energy   -26.7 eV for the cell shown

# 5
DFT (PBE) results for an optimized crystal structure of Tb6Sm3Ho2Zr.

Cell lengths 6.1210, 6.1210, 11.7055 Å; angles 94.97, 94.97, 119.91 degrees
Last column: nearest neighbours and their distance in Å.
Fractional coordinates of all 12 atoms:
Tb 0.2456 0.2456 0.7579  1 Zr 3.43, 6 Tb 3.47-3.57, 2 Ho 3.47, 3 Sm 3.59-3.63
Tb 0.5921 0.9190 0.7575  1 Zr 3.44, 6 Tb 3.46-3.57, 2 Ho 3.47, 3 Sm 3.59-3.63
Tb 0.0810 0.4079 0.2425  1 Zr 3.44, 6 Tb 3.46-3.57, 2 Ho 3.47, 3 Sm 3.59-3.63
Tb 0.9190 0.5921 0.7575  1 Zr 3.44, 6 Tb 3.46-3.57, 2 Ho 3.47, 3 Sm 3.59-3.63
Tb 0.4079 0.0810 0.2425  1 Zr 3.44, 6 Tb 3.46-3.57, 2 Ho 3.47, 3 Sm 3.59-3.63
Tb 0.7544 0.7544 0.2421  1 Zr 3.43, 6 Tb 3.47-3.57, 2 Ho 3.47, 3 Sm 3.59-3.63
Sm 0.8337 0.1663 0.5000  6 Sm 3.52-3.54, 6 Tb 3.59-3.63
Sm 0.5000 0.5000 0.5000  6 Sm 3.53-3.54, 6 Tb 3.59-3.63
Sm 0.1663 0.8337 0.5000  6 Sm 3.52-3.54, 6 Tb 3.59-3.63
Ho 0.6668 0.3332 0.0000  6 Tb 3.47, 3 Zr 3.53-3.54, 3 Ho 3.54
Ho 0.3332 0.6668 0.0000  6 Tb 3.47, 3 Zr 3.53-3.54, 3 Ho 3.54
Zr 0.0000 0.0000 0.0000  6 Tb 3.43-3.44, 6 Ho 3.53-3.54

## Properties
Calculated formation energy   0.043 eV/atom
Total magnetization   0.000 μB/atom
VASP energy   -59.1 eV for the cell shown

# 6
DFT (PBE) results for an optimized crystal structure of SmAl2GaCu2.

Cell lengths 4.4833, 4.4833, 5.6279 Å; angles 90.00, 90.00, 90.00 degrees
Last column: nearest neighbours and their distance in Å.
Fractional coordinates of all 6 atoms:
Al 0.5000 0.5000 0.7368  2 Al 2.67-2.96, 4 Cu 2.69
Al 0.5000 0.5000 0.2632  2 Al 2.67-2.96, 4 Cu 2.69
Sm 0.0000 0.0000 0.5000  2 Ga 2.81
Ga 0.0000 0.0000 0.0000  4 Cu 2.24
Cu 0.5000 0.0000 0.0000  2 Ga 2.24
Cu 0.0000 0.5000 0.0000  2 Ga 2.24

## Properties
Calculated formation energy   -0.100 eV/atom
Total magnetization   0.000 μB/atom
VASP energy   -24.0 eV for the cell shown

# 7
DFT (PBE) results for an optimized crystal structure of PmNCl3.

Cell lengths 7.4394, 7.4389, 8.2253 Å; angles 90.03, 63.11, 60.00 degrees
Last column: nearest neighbours and their distance in Å.
Fractional coordinates of all 10 atoms:
Cl 0.3745 0.5177 0.4974  2 Pm 2.74
Cl 0.8751 0.0171 0.4974  2 Pm 2.74
Cl 0.5512 0.1794 0.9817  2 Pm 2.74
Cl 0.0519 0.6787 0.9817  2 Pm 2.74
Cl 0.0519 0.1794 0.9817  2 Pm 2.74
Cl 0.3745 0.0171 0.4974  2 Pm 2.74
N 0.5306 0.6896 0.0134  9 Cl 3.73-4.02, 1 N 3.84
N 0.8958 0.5068 0.4657  9 Cl 3.73-4.02, 1 N 3.84
Pm 0.3802 0.2648 0.7391  6 Cl 2.74
Pm 0.0462 0.9317 0.7400  6 Cl 2.74

## Properties
Raw formation energy   -763 meV/atom
Total magnetization   0.601 μB/atom
VASP energy   -44.9 eV for the cell shown

# 8
DFT (PBE) results for an optimized crystal structure of ZrRuSe2.

Cell lengths 7.2256, 7.2256, 7.2256 Å; angles 150.11, 147.05, 45.08 degrees
Last column: nearest neighbours and their distance in Å.
Fractional coordinates of all 4 atoms:
Se 0.3854 0.3854 0.0000  2 Ru 2.60, 2 Zr 2.73
Se 0.1146 0.1146 0.0000  2 Ru 2.60, 2 Zr 2.73
Ru 0.2500 0.7500 0.5000  4 Se 2.60, 4 Zr 2.77
Zr 0.7500 0.2500 0.5000  4 Se 2.73, 4 Ru 2.77

## Properties
Energy above the lowest structure with this stoichiometry   0.000 eV per atom
Raw formation energy   -702 meV/atom
Total magnetization   0.000 μB/atom
VASP energy   -27.6 eV for the cell shown